No. 1
{
  "formula": "Ac2Zn6CuAg",
  "functional": "PBE",
  "state": "relaxed",
  "formation_energy_mev_per_atom": -186,
  "spacegroup": "No. 2",
  "lattice_angstrom": [[-5.668, 2.058, -3.488], [2.093, -3.196, -5.289], [-4.467, -4.362, -3.195]],
  "species": ["Ac", "Ac", "Zn", "Zn", "Zn", "Zn", "Zn", "Zn", "Cu", "Ag"],
  "frac_coords": [[0.716, 0.288, 0.420], [0.284, 0.712, 0.580], [0.160, 0.257, 0.490], [0.743, 0.844, 0.903], [0.255, 0.744, 0.101], [0.745, 0.256, 0.899], [0.257, 0.156, 0.097], [0.840, 0.743, 0.510], [0.500, 0.500, 0.000], [0.000, 0.000, 0.000]]
}

=====

No. 2
{
  "formula": "AcZnCuAg",
  "functional": "PBE",
  "state": "relaxed",
  "polymorph_energy_mev_per_atom": 0,
  "formation_energy_mev_per_atom": -207,
  "spacegroup": "No. 8",
  "lattice_angstrom": [[-0.353, 0.167, -4.472], [3.754, -1.584, 1.898], [-4.420, -3.867, 0.204]],
  "species": ["Ac", "Zn", "Cu", "Ag"],
  "frac_coords": [[0.622, 0.244, 0.508], [0.102, 0.203, 0.947], [0.420, 0.839, 0.900], [0.823, 0.647, 0.113]]
}